## ZnNi3N (meta-GGA SCAN)

Data for a crystal of ZnNi3N relaxed with PBEsol.

Results
Calculated density, g cm⁻³: 8.34
SG: Pm-3m
Magnetic moment, μB per atom: 0.00
D(E_F), states/eV/f.u.: 2.944
ΔE_f (raw), eV/atom: -0.160

Lattice parameters (Å, degrees): 3.7050 3.7050 3.7050 90.00 90.00 90.00
Closest atoms and distances in Å follow each position.
Fractional coordinates of all 5 atoms:
Zn  0.0000  0.0000  0.0000  12 Ni 2.62
Ni  0.0000  0.5000  0.5000  2 N 1.85
Ni  0.5000  0.0000  0.5000  2 N 1.85
Ni  0.5000  0.5000  0.0000  2 N 1.85
N  0.5000  0.5000  0.5000  6 Ni 1.85

## ZnNiN3 (meta-GGA SCAN)

Data for a crystal of ZnNiN3 relaxed with PBEsol.

Results
Calculated density, g cm⁻³: 5.25
SG: Pm-3m
Magnetic moment, μB per atom: 0.98
D(E_F), states/eV/f.u.: 5.288
ΔE_f (raw), eV/atom: 2.261

Lattice parameters (Å, degrees): 3.7466 3.7466 3.7466 90.00 90.00 90.00
Closest atoms and distances in Å follow each position.
Fractional coordinates of all 5 atoms:
Zn  0.0000  0.0000  0.0000  6 N 1.87
Ni  0.5000  0.5000  0.5000  12 N 2.65
N  0.0000  0.0000  0.5000  2 Zn 1.87
N  0.0000  0.5000  0.0000  2 Zn 1.87
N  0.5000  0.0000  0.0000  2 Zn 1.87

## ZrNiN3 (meta-GGA SCAN)

Data for a crystal of ZrNiN3 relaxed with PBEsol.

Results
Calculated density, g cm⁻³: 6.66
SG: Pm-3m
Magnetic moment, μB per atom: 0.00
D(E_F), states/eV/f.u.: 2.875
ΔE_f (raw), eV/atom: 0.140

Lattice parameters (Å, degrees): 3.6311 3.6311 3.6311 90.00 90.00 90.00
Closest atoms and distances in Å follow each position.
Fractional coordinates of all 5 atoms:
Zr  0.0000  0.0000  0.0000  12 N 2.57
Ni  0.5000  0.5000  0.5000  6 N 1.82
N  0.0000  0.5000  0.5000  2 Ni 1.82
N  0.5000  0.0000  0.5000  2 Ni 1.82
N  0.5000  0.5000  0.0000  2 Ni 1.82

## NpN (meta-GGA SCAN)

Data for a crystal of NpN relaxed with PBEsol.

Results
Calculated density, g cm⁻³: 15.23
SG: Fm-3m
Magnetic moment, μB per atom: 1.55
D(E_F), states/eV/f.u.: 4.017
ΔE_f (raw), eV/atom: -1.027

Lattice parameters (Å, degrees): 4.7838 4.7838 4.7838 90.00 90.00 90.00
Closest atoms and distances in Å follow each position.
Fractional coordinates of all 8 atoms:
Np  0.0000  0.0000  0.0000  6 N 2.39
Np  0.0000  0.5000  0.5000  6 N 2.39
Np  0.5000  0.0000  0.5000  6 N 2.39
Np  0.5000  0.5000  0.0000  6 N 2.39
N  0.0000  0.0000  0.5000  6 Np 2.39
N  0.0000  0.5000  0.0000  6 Np 2.39
N  0.5000  0.0000  0.0000  6 Np 2.39
N  0.5000  0.5000  0.5000  6 Np 2.39

## Np2N3 (meta-GGA SCAN)

Data for a crystal of Np2N3 relaxed with PBEsol.

Results
Calculated density, g cm⁻³: 12.05
SG: Ia-3
Magnetic moment, μB per atom: 1.00
D(E_F), states/eV/f.u.: 8.527
ΔE_f (raw), eV/atom: -1.209

Lattice parameters (Å, degrees): 9.0421 9.0421 9.0421 109.47 109.47 109.47
Closest atoms and distances in Å follow each position.
Fractional coordinates of all 40 atoms:
Np  0.0000  0.0000  0.0000  6 N 2.23
Np  0.0000  0.5000  0.5000  6 N 2.23
Np  0.0225  0.7725  0.2500  6 N 2.21-2.27
Np  0.2275  0.7500  0.9775  6 N 2.21-2.27
Np  0.2500  0.0225  0.7725  6 N 2.21-2.27
Np  0.2500  0.5225  0.2725  6 N 2.21-2.27
Np  0.2725  0.2500  0.5225  6 N 2.21-2.27
Np  0.4775  0.7275  0.7500  6 N 2.21-2.27
Np  0.5000  0.0000  0.5000  6 N 2.23
Np  0.5000  0.5000  0.0000  6 N 2.23
Np  0.5225  0.2725  0.2500  6 N 2.21-2.27
Np  0.7275  0.7500  0.4775  6 N 2.21-2.27
Np  0.7500  0.4775  0.7275  6 N 2.21-2.27
Np  0.7500  0.9775  0.2275  6 N 2.21-2.27
Np  0.7725  0.2500  0.0225  6 N 2.21-2.27
Np  0.9775  0.2275  0.7500  6 N 2.21-2.27
N  0.0026  0.4740  0.7370  4 Np 2.21-2.27
N  0.0260  0.0286  0.2629  4 Np 2.21-2.27
N  0.0286  0.2629  0.0260  4 Np 2.21-2.27
N  0.2343  0.4714  0.4974  4 Np 2.21-2.27
N  0.2371  0.2657  0.7630  4 Np 2.21-2.27
N  0.2370  0.7629  0.7343  4 Np 2.21-2.27
N  0.2629  0.0260  0.0286  4 Np 2.21-2.27
N  0.2630  0.9974  0.5260  4 Np 2.21-2.27
N  0.2657  0.7630  0.2371  4 Np 2.21-2.27
N  0.4714  0.4974  0.2343  4 Np 2.21-2.27
N  0.4740  0.7370  0.0026  4 Np 2.21-2.27
N  0.4974  0.2343  0.4714  4 Np 2.21-2.27
N  0.5026  0.7657  0.5286  4 Np 2.21-2.27
N  0.5260  0.2630  0.9974  4 Np 2.21-2.27
N  0.5286  0.5026  0.7657  4 Np 2.21-2.27
N  0.7343  0.2370  0.7629  4 Np 2.21-2.27
N  0.7370  0.0026  0.4740  4 Np 2.21-2.27
N  0.7371  0.9740  0.9714  4 Np 2.21-2.27
N  0.7630  0.2371  0.2657  4 Np 2.21-2.27
N  0.7629  0.7343  0.2370  4 Np 2.21-2.27
N  0.7657  0.5286  0.5026  4 Np 2.21-2.27
N  0.9714  0.7371  0.9740  4 Np 2.21-2.27
N  0.9740  0.9714  0.7371  4 Np 2.21-2.27
N  0.9974  0.5260  0.2630  4 Np 2.21-2.27

## Os3NO (meta-GGA SCAN)

Data for a crystal of Os3NO relaxed with PBEsol.

Results
Calculated density, g cm⁻³: 15.76
SG: Pm-3m
Magnetic moment, μB per atom: 0.14
D(E_F), states/eV/f.u.: 3.766
ΔE_f (raw), eV/atom: 2.347

Lattice parameters (Å, degrees): 3.9850 3.9850 3.9850 90.00 90.00 90.00
Closest atoms and distances in Å follow each position.
Fractional coordinates of all 5 atoms:
Os  0.0000  0.0000  0.5000  2 O 1.99
Os  0.0000  0.5000  0.0000  2 O 1.99
Os  0.5000  0.0000  0.0000  2 O 1.99
N  0.5000  0.5000  0.5000  12 Os 2.82
O  0.0000  0.0000  0.0000  6 Os 1.99

## OsN2O2 (meta-GGA SCAN)

Data for a crystal of OsN2O2 relaxed with PBEsol.

Results
Calculated density, g cm⁻³: 7.66
SG: P4/mmm
Magnetic moment, μB per atom: 0.55
D(E_F), states/eV/f.u.: 1.517
ΔE_f (raw), eV/atom: 0.861

Lattice parameters (Å, degrees): 3.7781 3.7781 3.8021 90.00 90.00 90.00
Closest atoms and distances in Å follow each position.
Fractional coordinates of all 5 atoms:
Os  0.0000  0.0000  0.0000  4 O 1.89, 2 N 1.90
N  0.0000  0.0000  0.5000  2 Os 1.90
N  0.5000  0.5000  0.5000  4 N 2.67, 8 O 2.68
O  0.0000  0.5000  0.0000  2 Os 1.89
O  0.5000  0.0000  0.0000  2 Os 1.89

## OsPdNO2 (meta-GGA SCAN)

Data for a crystal of OsPdNO2 relaxed with PBEsol.

Results
Calculated density, g cm⁻³: 10.16
SG: P4/mmm
Magnetic moment, μB per atom: 0.00
D(E_F), states/eV/f.u.: 3.764
ΔE_f (raw), eV/atom: 0.163

Lattice parameters (Å, degrees): 3.8058 3.8058 3.8677 90.00 90.00 90.00
Closest atoms and distances in Å follow each position.
Fractional coordinates of all 5 atoms:
Os  0.0000  0.0000  0.0000  4 O 1.90, 2 N 1.93
Pd  0.5000  0.5000  0.5000  4 N 2.69, 8 O 2.71
N  0.0000  0.0000  0.5000  2 Os 1.93
O  0.0000  0.5000  0.0000  2 Os 1.90
O  0.5000  0.0000  0.0000  2 Os 1.90

## RbOsNO3 (meta-GGA SCAN)

Data for a crystal of RbOsNO3 relaxed with PBEsol.

Results
Calculated density, g cm⁻³: 5.10
SG: P2_12_12_1
Magnetic moment, μB per atom: 0.00
D(E_F), states/eV/f.u.: 0.000
ΔE_f (raw), eV/atom: -0.990

Lattice parameters (Å, degrees): 5.5599 5.7845 13.6707 90.00 90.00 90.00
Closest atoms and distances in Å follow each position.
Fractional coordinates of all 24 atoms:
Rb  0.0223  0.2243  0.1228  5 O 2.87-3.02, 2 N 3.03-3.10
Rb  0.4777  0.7757  0.6228  5 O 2.87-3.02, 2 N 3.03-3.10
Rb  0.5223  0.2757  0.8772  5 O 2.87-3.02, 2 N 3.03-3.10
Rb  0.9777  0.7243  0.3772  5 O 2.87-3.02, 2 N 3.03-3.10
Os  0.0373  0.7573  0.8679  1 N 1.70, 3 O 1.75-1.76
Os  0.4627  0.2427  0.3679  1 N 1.70, 3 O 1.75-1.76
Os  0.5373  0.7427  0.1321  1 N 1.70, 3 O 1.75-1.76
Os  0.9627  0.2573  0.6321  1 N 1.70, 3 O 1.75-1.76
N  0.0164  0.0316  0.5559  1 Os 1.70
N  0.4836  0.9684  0.0559  1 Os 1.70
N  0.5164  0.4684  0.4441  1 Os 1.70
N  0.9836  0.5316  0.9441  1 Os 1.70
O  0.0367  0.5118  0.5691  1 Os 1.75
O  0.1439  0.2200  0.7359  1 Os 1.75
O  0.1557  0.2493  0.3364  1 Os 1.76
O  0.3443  0.7507  0.8364  1 Os 1.76
O  0.3561  0.7800  0.2359  1 Os 1.75
O  0.4633  0.4882  0.0691  1 Os 1.75
O  0.5367  0.9882  0.4309  1 Os 1.75
O  0.6439  0.2800  0.2641  1 Os 1.75
O  0.6557  0.2507  0.6636  1 Os 1.76
O  0.8443  0.7493  0.1636  1 Os 1.76
O  0.8561  0.7200  0.7641  1 Os 1.75
O  0.9633  0.0118  0.9309  1 Os 1.75

## OsRuNO2 (meta-GGA SCAN)

Data for a crystal of OsRuNO2 relaxed with PBEsol.

Results
Calculated density, g cm⁻³: 9.88
SG: P4/mmm
Magnetic moment, μB per atom: 0.61
D(E_F), states/eV/f.u.: 2.959
ΔE_f (raw), eV/atom: 0.406

Lattice parameters (Å, degrees): 3.8474 3.8474 3.8303 90.00 90.00 90.00
Closest atoms and distances in Å follow each position.
Fractional coordinates of all 5 atoms:
Os  0.0000  0.0000  0.0000  2 N 1.92, 4 O 1.92
Ru  0.5000  0.5000  0.5000  8 O 2.71, 4 N 2.72
N  0.0000  0.0000  0.5000  2 Os 1.92
O  0.0000  0.5000  0.0000  2 Os 1.92
O  0.5000  0.0000  0.0000  2 Os 1.92

- Which formula does entry 9 have?
  RbOsNO3

Repeat the first record exactly.
## ZnNi3N (meta-GGA SCAN)

Data for a crystal of ZnNi3N relaxed with PBEsol.

Results
Calculated density, g cm⁻³: 8.34
SG: Pm-3m
Magnetic moment, μB per atom: 0.00
D(E_F), states/eV/f.u.: 2.944
ΔE_f (raw), eV/atom: -0.160

Lattice parameters (Å, degrees): 3.7050 3.7050 3.7050 90.00 90.00 90.00
Closest atoms and distances in Å follow each position.
Fractional coordinates of all 5 atoms:
Zn  0.0000  0.0000  0.0000  12 Ni 2.62
Ni  0.0000  0.5000  0.5000  2 N 1.85
Ni  0.5000  0.0000  0.5000  2 N 1.85
Ni  0.5000  0.5000  0.0000  2 N 1.85
N  0.5000  0.5000  0.5000  6 Ni 1.85